1.
{
  "formula": "DyGa2Pt4",
  "functional": "PBE-GGA",
  "state": "optimized geometry",
  "total_energy_ry_per_atom": -0.4265,
  "dos_at_fermi_per_ev_atom": 0.41,
  "lattice": [[7.840, 0.000, 0.000], [0.000, 7.840, 0.000], [0.000, 0.000, 3.984]],
  "species": ["Dy", "Dy", "Ga", "Ga", "Ga", "Ga", "Pt", "Pt", "Pt", "Pt", "Pt", "Pt", "Pt", "Pt"],
  "frac_coords": [[0.000, 0.000, 0.000], [0.500, 0.500, 0.500], [0.225, 0.225, 0.500], [0.275, 0.725, 0.000], [0.725, 0.275, 0.000], [0.775, 0.775, 0.500], [0.078, 0.672, 0.500], [0.172, 0.422, 0.000], [0.328, 0.922, 0.500], [0.422, 0.172, 0.000], [0.578, 0.828, 0.000], [0.672, 0.078, 0.500], [0.828, 0.578, 0.000], [0.922, 0.328, 0.500]]
}

2.
{
  "formula": "DyGaPt2",
  "functional": "PBE-GGA",
  "state": "optimized geometry",
  "total_energy_ry_per_atom": -0.4266,
  "dos_at_fermi_per_ev_atom": 0.42,
  "lattice": [[3.389, 0.000, 0.000], [0.000, 3.389, 0.000], [0.000, 0.000, 6.386]],
  "species": ["Dy", "Ga", "Pt", "Pt"],
  "frac_coords": [[0.000, 0.000, 0.000], [0.000, 0.000, 0.500], [0.500, 0.500, 0.280], [0.500, 0.500, 0.720]]
}